DFT (PBE-GGA) results for a relaxed structure of SiPPb2.

Geometry as extended XYZ:
```
16
Lattice="6.348 0.000 0.000 0.000 6.348 0.000 0.000 0.000 12.822" Properties=species:S:1:pos:R:3 pbc="T T T"
Si 0.000 0.000 0.000
Si 0.000 3.174 3.205
Si 3.174 0.000 9.616
Si 3.174 3.174 6.411
P 0.000 0.000 6.411
P 0.000 3.174 9.616
P 3.174 0.000 3.205
P 3.174 3.174 0.000
Pb 1.587 1.587 1.603
Pb 1.587 1.587 8.014
Pb 1.587 4.761 4.808
Pb 1.587 4.761 11.219
Pb 4.761 1.587 4.808
Pb 4.761 1.587 11.219
Pb 4.761 4.761 1.603
Pb 4.761 4.761 8.014
```

Energy above the most stable polymorph in this dataset: 8.104 kcal/mol of atoms
Total moment: 0.000 μB/f.u.
Volume: 32.29 Å³ per atom
Uncorrected formation energy: 1.657 eV per formula unit
DFT total energy: -4.1480 eV/atom

=====

DFT (PBE-GGA) results for a relaxed structure of ThCd4Au2.

Geometry as extended XYZ:
```
14
Lattice="4.688 0.000 0.000 0.000 18.597 0.000 0.000 0.000 3.641" Properties=species:S:1:pos:R:3 pbc="T T T"
Th 0.000 0.000 0.000
Th 2.344 9.298 0.000
Cd 0.000 3.025 1.821
Cd 0.000 5.626 0.000
Cd 0.000 12.971 0.000
Cd 0.000 15.572 1.821
Cd 2.344 3.672 0.000
Cd 2.344 6.274 1.821
Cd 2.344 12.323 1.821
Cd 2.344 14.925 0.000
Au 0.000 7.922 1.821
Au 0.000 10.675 1.821
Au 2.344 1.376 1.821
Au 2.344 17.221 1.821
```

Calculated formation energy: -283 meV/atom
Total moment: 0.000 μB/f.u.
Volume: 22.67 Å³ per atom
DFT total energy: -2.8021 eV/atom

=====

DFT (PBE-GGA) results for a relaxed structure of KNi.

Geometry as extended XYZ:
```
12
Lattice="13.744 0.000 0.000 0.000 4.129 0.000 0.000 0.000 6.043" Properties=species:S:1:pos:R:3 pbc="T T T"
K 0.000 0.994 0.000
K 3.154 3.076 5.969
K 3.719 1.053 2.947
K 6.872 3.135 3.022
K 10.026 1.053 2.947
K 10.591 3.076 5.969
Ni 0.000 1.072 3.016
Ni 1.135 3.135 2.991
Ni 5.737 0.994 6.013
Ni 6.872 3.058 6.038
Ni 8.007 0.994 6.013
Ni 12.609 3.135 2.991
```

Energy above the most stable polymorph in this dataset: 0.897 kcal/mol of atoms
Calculated formation energy: 552 meV/atom
Total moment: 0.471 μB/f.u.
Volume: 28.58 Å³ per atom
DFT total energy: -2.8879 eV/atom

=====

- What is the DFT total energy in the third record?
  -2.8879 eV/atom